Material: BRuW2
Method: DFT, PBE
State: relaxed

Results
* DOS(E_F): 0.570 states/eV per atom
* energy of formation: -0.4 eV per formula unit

Lattice parameters (Å, degrees): 5.504 2.958 6.587 90.00 101.63 90.00
Space group P2_1/m (No. 11)
Inequivalent atoms, fractional coordinates:
1 B 0.198 0.250 0.276
2 Ru 0.425 0.750 0.159
3 W 0.108 0.250 0.866
4 W 0.252 0.750 0.538

Material: RbAsAu
Method: DFT, PBE
State: relaxed

Results
* DOS(E_F): 0.280 states/eV per atom
* energy of formation: -1.0 eV per formula unit

Lattice parameters (Å, degrees): 4.718 7.216 11.124 90.00 90.00 90.00
Space group Immm (No. 71)
Inequivalent atoms, fractional coordinates:
1 Rb 0.000 0.000 0.241
2 As 0.000 0.325 0.000
3 Au 0.000 0.288 0.500

Material: Li2TbBiTe4
Method: DFT, PBE
State: relaxed

Results
* formation energy (no corrections): -7.206 eV per formula unit

Lattice parameters (Å, degrees): 7.512 4.392 7.624 90.00 109.76 90.00
Space group P2/m (No. 10)
Inequivalent atoms, fractional coordinates:
1 Li 0.000 0.000 0.000
2 Li 0.000 0.500 0.500
3 Tb 0.500 0.000 0.500
4 Bi 0.500 0.500 0.000
5 Te 0.238 0.000 0.743
6 Te 0.243 0.500 0.250